# 1
Entry from the Alexandria database: a relaxed PrY2Pd crystal (PBE).

Summary:
The calculation puts the formation energy at -0.313 eV per atom. For the magnetization, the calculation gives 0.00 μB per cell. Its space group is R3m.

a b c (Å): 9.533 9.533 9.533
angles (deg): 23.67 23.67 23.67
Positions (direct):
Pr 0.000 0.000 0.000
Y 0.559 0.559 0.559
Y 0.770 0.770 0.770
Pd 0.164 0.164 0.164

---

# 2
Entry from the Alexandria database: a relaxed Pm2Be4GaRh3 crystal (PBE).

Summary:
The calculation puts the formation energy at -0.520 eV per atom. For the magnetization, the calculation gives 0.00 μB per cell. Its space group is P-4m2.

a b c (Å): 3.935 3.935 9.988
angles (deg): 90.00 90.00 90.00
Positions (direct):
Pm 0.000 0.500 0.244
Pm 0.500 0.000 0.756
Be 0.000 0.000 0.000
Be 0.000 0.500 0.638
Be 0.500 0.000 0.362
Be 0.500 0.500 0.000
Ga 0.000 0.000 0.500
Rh 0.000 0.500 0.886
Rh 0.500 0.000 0.114
Rh 0.500 0.500 0.500

---

# 3
Entry from the Alexandria database: a relaxed Li4TiPb5 crystal (PBE).

Summary:
The calculation puts the formation energy at -0.163 eV per atom. For the magnetization, the calculation gives 0.00 μB per cell. Its space group is P4/mmm.

a b c (Å): 3.429 3.429 19.005
angles (deg): 90.00 90.00 90.00
Positions (direct):
Li 0.000 0.000 0.097
Li 0.000 0.000 0.298
Li 0.000 0.000 0.702
Li 0.000 0.000 0.903
Ti 0.000 0.000 0.500
Pb 0.500 0.500 0.000
Pb 0.500 0.500 0.198
Pb 0.500 0.500 0.398
Pb 0.500 0.500 0.602
Pb 0.500 0.500 0.802